The following is a PBE calculation of LaSnHg after structural relaxation, from Alexandria.

Geometry as extended XYZ:
```
3
Lattice="4.391 0.000 0.000 0.000 4.794 0.000 0.000 -2.397 4.151" Properties=species:S:1:pos:R:3 pbc="T T T"
Sn 1.091 0.000 2.768
La 3.001 2.397 1.384
Hg 0.299 0.000 0.000
```

Properties
- Total DFT energy (no corrections): -3.672 eV/atom
- Total magnetic moment: 0.00 μB per formula unit
- Calculated density: 8708 kg/m3

---

The following is a PBE calculation of Mo3Cl after structural relaxation, from Alexandria.

Geometry as extended XYZ:
```
4
Lattice="5.072 0.013 0.000 -2.572 4.371 0.000 0.000 0.000 2.881" Properties=species:S:1:pos:R:3 pbc="T T T"
Cl 0.000 0.000 0.000
Mo 1.250 2.192 0.000
Mo -1.286 2.186 1.441
Mo 2.536 0.007 1.441
```

Properties
- Total DFT energy (no corrections): -7.746 eV/atom
- Total magnetic moment: 0.00 μB per formula unit
- Calculated density: 8391 kg/m3

---

The following is a PBE calculation of Dy3Ho4Th after structural relaxation, from Alexandria.

Geometry as extended XYZ:
```
16
Lattice="-0.227 -5.546 -2.826 -0.302 -3.260 6.423 -11.308 0.583 -0.235" Properties=species:S:1:pos:R:3 pbc="T T T"
Dy -8.899 -7.009 1.064
Dy -5.801 -1.751 1.892
Dy -0.335 -5.615 2.172
Dy -3.229 -7.302 1.182
Dy -3.057 -3.727 1.017
Dy -8.695 -3.436 0.900
Ho -8.848 -5.111 4.059
Ho -5.839 -3.700 -1.139
Ho -3.082 -5.740 -2.035
Ho -5.950 -3.366 5.064
Ho -8.750 -5.448 -2.153
Ho -0.186 -4.009 -1.004
Ho -3.208 -5.402 4.176
Ho -0.297 -3.662 5.206
Th -5.989 -5.339 2.058
Th -0.147 -2.049 1.996
```

Properties
- Total DFT energy (no corrections): -4.919 eV/atom
- Total magnetic moment: 0.00 μB per formula unit
- Calculated density: 9007 kg/m3

---

The following is a PBE calculation of Ag2Hg3H4 after structural relaxation, from Alexandria.

Geometry as extended XYZ:
```
18
Lattice="-1.955 -2.896 -5.170 3.692 -9.797 -5.241 -2.598 -11.228 -2.060" Properties=species:S:1:pos:R:3 pbc="T T T"
Hg -0.834 -5.465 -4.111
Hg -0.920 -12.684 -7.528
Hg -0.028 -18.455 -8.361
Hg -1.004 -19.903 -10.947
Hg 0.142 -4.018 -1.525
Hg 0.058 -11.236 -4.943
H -1.984 -16.061 -7.077
H -1.010 -14.610 -4.493
H -3.008 -10.025 -6.386
H 0.149 -9.310 -7.978
H 1.122 -7.859 -5.395
H 2.147 -13.896 -6.086
H 1.169 -15.340 -8.675
H -2.030 -8.581 -3.797
Ag 0.483 -14.067 -5.375
Ag -0.368 -8.406 -4.511
Ag -1.345 -9.854 -7.097
Ag -0.493 -15.515 -7.961
```

Properties
- Total DFT energy (no corrections): -1.922 eV/atom
- Total magnetic moment: 0.00 μB per formula unit
- Calculated density: 7577 kg/m3

---

The following is a PBE calculation of TmGe6Pd12 after structural relaxation, from Alexandria.

Geometry as extended XYZ:
```
19
Lattice="-3.061 -1.334 6.430 6.504 -3.187 0.166 1.257 7.133 -0.190" Properties=species:S:1:pos:R:3 pbc="T T T"
Ge 2.926 -1.181 4.818
Ge 4.809 2.512 1.931
Ge 4.063 -0.709 1.743
Ge 1.774 3.792 1.588
Ge 0.638 3.320 4.663
Ge -0.109 0.099 4.475
Pd -1.261 2.005 5.568
Pd 0.292 1.869 2.580
Pd 0.369 5.202 3.069
Pd 4.409 0.742 3.826
Pd 3.981 4.502 0.704
Pd 1.609 -0.721 2.670
Pd 4.331 -2.591 3.337
Pd 2.692 1.404 1.009
Pd 5.962 0.606 0.838
Pd 2.008 1.207 5.397
Pd 0.720 -1.891 5.702
Pd 3.092 3.332 3.736
Tm 0.000 0.000 0.000
```

Properties
- Total DFT energy (no corrections): -5.434 eV/atom
- Total magnetic moment: 0.00 μB per formula unit
- Calculated density: 9647 kg/m3

---

The following is a PBE calculation of Er2Zn5AgRu2 after structural relaxation, from Alexandria.

Geometry as extended XYZ:
```
20
Lattice="4.070 0.000 0.000 0.000 9.372 0.000 0.000 0.000 9.372" Properties=species:S:1:pos:R:3 pbc="T T T"
Zn 2.035 0.000 4.686
Zn 2.035 2.755 5.262
Zn 2.035 8.796 1.931
Zn 2.035 5.262 6.617
Zn 2.035 1.931 0.576
Zn 2.035 4.110 2.755
Zn 2.035 7.441 8.796
Zn 2.035 0.576 7.441
Zn 2.035 4.686 0.000
Zn 2.035 6.617 4.110
Ru 0.000 5.842 8.216
Ru 0.000 8.216 3.530
Ru 0.000 1.156 5.842
Ru 0.000 3.530 1.156
Ag 0.000 4.686 4.686
Ag 0.000 0.000 0.000
Er 0.000 3.050 7.736
Er 0.000 7.736 6.322
Er 0.000 1.636 3.050
Er 0.000 6.322 1.636
```

Properties
- Total DFT energy (no corrections): -3.883 eV/atom
- Total magnetic moment: 0.00 μB per formula unit
- Calculated density: 9027 kg/m3

---

The following is a PBE calculation of Li4InBr5 after structural relaxation, from Alexandria.

Geometry as extended XYZ:
```
20
Lattice="-3.466 -2.402 0.435 2.346 -0.282 -3.519 20.587 -26.836 15.877" Properties=species:S:1:pos:R:3 pbc="T T T"
Li 14.822 -19.776 8.914
Li 18.496 -24.565 11.747
Li 18.376 -27.641 14.467
Li 2.586 -7.059 2.290
Li 7.390 -13.321 5.995
Li 11.156 -14.997 6.086
Li 14.722 -22.879 11.649
Li 11.052 -18.094 8.818
Br 1.149 -5.185 1.181
Br 20.755 -27.510 13.489
Br 9.624 -16.232 7.717
Br 13.293 -21.015 10.547
Br 17.067 -22.702 10.645
Br 16.958 -25.792 13.373
Br 4.956 -6.916 1.306
Br 13.395 -17.916 7.813
Br 5.943 -11.435 4.879
Br 9.727 -13.134 4.985
In 2.057 -3.137 -0.930
In 6.851 -9.385 2.767
```

Properties
- Total DFT energy (no corrections): -3.215 eV/atom
- Total magnetic moment: 0.00 μB per formula unit
- Calculated density: 3096 kg/m3

---

The following is a PBE calculation of BaPrAs2 after structural relaxation, from Alexandria.

Geometry as extended XYZ:
```
4
Lattice="-0.472 4.260 -1.230 -2.225 1.010 -3.730 -7.356 2.187 2.315" Properties=species:S:1:pos:R:3 pbc="T T T"
Pr 0.000 0.000 0.000
Ba -5.027 3.729 -1.322
As -2.309 1.851 -0.787
As -7.745 5.606 -1.858
```

Properties
- Total DFT energy (no corrections): -5.133 eV/atom
- Total magnetic moment: 0.00 μB per formula unit
- Calculated density: 5438 kg/m3

---

The following is a PBE calculation of CrReRh2 after structural relaxation, from Alexandria.

Geometry as extended XYZ:
```
4
Lattice="-3.814 -1.098 -3.483 -0.935 -4.978 -1.493 0.222 3.596 3.861" Properties=species:S:1:pos:R:3 pbc="T T T"
Rh -2.831 -0.075 -0.896
Rh -0.063 -0.081 -0.066
Re -1.688 -2.395 -0.212
Cr -2.319 -2.967 -2.431
```

Properties
- Total DFT energy (no corrections): -9.048 eV/atom
- Total magnetic moment: 1.00 μB per formula unit
- Calculated density: 12917 kg/m3

---

The following is a PBE calculation of HoIn2Sb after structural relaxation, from Alexandria.

Geometry as extended XYZ:
```
4
Lattice="5.027 0.000 0.000 0.000 4.536 0.000 0.000 0.000 4.536" Properties=species:S:1:pos:R:3 pbc="T T T"
In 0.000 0.000 2.268
In 0.000 2.268 0.000
Sb 2.513 0.000 0.000
Ho 2.513 2.268 2.268
```

Properties
- Total DFT energy (no corrections): -3.958 eV/atom
- Total magnetic moment: 0.00 μB per formula unit
- Calculated density: 8289 kg/m3

---

The following is a PBE calculation of ScCr2CoRh after structural relaxation, from Alexandria.

Geometry as extended XYZ:
```
5
Lattice="-1.352 -3.091 2.646 3.878 0.501 2.567 -1.979 2.935 2.418" Properties=species:S:1:pos:R:3 pbc="T T T"
Cr -0.990 1.468 1.209
Cr -0.676 -1.546 1.323
Sc 1.939 0.250 1.283
Rh 0.274 0.173 3.815
Co 0.000 0.000 0.000
```

Properties
- Total DFT energy (no corrections): -7.357 eV/atom
- Total magnetic moment: 5.57 μB per formula unit
- Calculated density: 6002 kg/m3

---

The following is a PBE calculation of Nb2CoHgH after structural relaxation, from Alexandria.

Geometry as extended XYZ:
```
5
Lattice="4.126 0.000 0.000 0.000 4.126 0.000 0.000 0.000 4.076" Properties=species:S:1:pos:R:3 pbc="T T T"
H 0.000 0.000 0.000
Hg 2.063 2.063 2.038
Co 0.000 0.000 2.038
Nb 2.063 0.000 0.000
Nb 0.000 2.063 0.000
```

Properties
- Total DFT energy (no corrections): -6.113 eV/atom
- Total magnetic moment: 1.42 μB per formula unit
- Calculated density: 10680 kg/m3

---

The following is a PBE calculation of ScMoOs2 after structural relaxation, from Alexandria.

Geometry as extended XYZ:
```
4
Lattice="5.144 0.023 0.000 2.286 4.608 0.000 -3.715 -2.316 2.702" Properties=species:S:1:pos:R:3 pbc="T T T"
Os 1.143 2.304 1.351
Os 0.000 0.000 0.000
Mo 2.572 0.011 1.351
Sc 3.715 2.316 0.000
```

Properties
- Total DFT energy (no corrections): -9.795 eV/atom
- Total magnetic moment: 0.00 μB per formula unit
- Calculated density: 13547 kg/m3

---

The following is a PBE calculation of Pm2InOs after structural relaxation, from Alexandria.

Geometry as extended XYZ:
```
4
Lattice="-2.726 -1.467 1.496 0.052 -2.501 -2.359 5.288 -4.665 5.062" Properties=species:S:1:pos:R:3 pbc="T T T"
Pm 4.226 -3.728 4.045
Pm 1.062 -0.937 1.016
In 1.307 -4.317 2.099
Os -1.337 -1.984 -0.432
```

Properties
- Total DFT energy (no corrections): -6.098 eV/atom
- Total magnetic moment: 0.00 μB per formula unit
- Calculated density: 9627 kg/m3

---

The following is a PBE calculation of NdAl4Cu2 after structural relaxation, from Alexandria.

Geometry as extended XYZ:
```
14
Lattice="3.981 0.000 0.000 0.000 7.836 0.000 0.000 0.000 7.836" Properties=species:S:1:pos:R:3 pbc="T T T"
Al 0.000 7.160 5.215
Al 1.990 3.241 6.539
Al 1.990 6.539 3.241
Al 1.990 4.595 1.297
Al 0.000 5.215 7.160
Al 1.990 1.297 4.595
Al 0.000 2.621 0.677
Al 0.000 0.677 2.621
Cu 1.990 2.277 2.277
Cu 1.990 5.559 5.559
Cu 0.000 1.641 6.195
Cu 0.000 6.195 1.641
Nd 1.990 0.000 0.000
Nd 0.000 3.918 3.918
```

Properties
- Total DFT energy (no corrections): -4.318 eV/atom
- Total magnetic moment: 0.00 μB per formula unit
- Calculated density: 5153 kg/m3

---

The following is a PBE calculation of CrSbPS2 after structural relaxation, from Alexandria.

Geometry as extended XYZ:
```
5
Lattice="-2.785 -3.780 1.670 0.400 -2.251 -4.427 4.213 -2.397 1.600" Properties=species:S:1:pos:R:3 pbc="T T T"
S -1.392 -1.890 0.835
S 0.200 -1.126 -2.214
P 2.107 -1.198 0.800
Cr 0.915 -4.214 -0.578
Sb 0.000 0.000 0.000
```

Properties
- Total DFT energy (no corrections): -4.597 eV/atom
- Total magnetic moment: 3.09 μB per formula unit
- Calculated density: 3523 kg/m3

---

The following is a PBE calculation of Th8AlFe2 after structural relaxation, from Alexandria.

Geometry as extended XYZ:
```
11
Lattice="5.365 0.198 -0.806 -1.750 7.134 -3.195 0.206 -0.253 8.004" Properties=species:S:1:pos:R:3 pbc="T T T"
Th 0.848 6.500 2.114
Th 4.096 5.511 -1.175
Th 2.971 0.623 1.914
Th 1.330 4.677 4.878
Th 5.072 1.825 4.413
Th 2.489 2.442 -0.845
Th 3.395 4.373 2.292
Th 0.419 2.754 1.743
Fe 1.485 5.109 -0.356
Fe 2.311 1.989 4.375
Al 0.000 0.023 0.015
```

Properties
- Total DFT energy (no corrections): -7.231 eV/atom
- Total magnetic moment: 0.00 μB per formula unit
- Calculated density: 10844 kg/m3

---

The following is a PBE calculation of Dy2SnHg after structural relaxation, from Alexandria.

Geometry as extended XYZ:
```
8
Lattice="4.410 0.000 0.000 0.000 6.118 -0.061 0.000 -3.132 8.175" Properties=species:S:1:pos:R:3 pbc="T T T"
Sn 3.308 3.197 2.352
Sn 1.103 -0.210 5.762
Dy 1.103 2.948 4.602
Dy 3.308 -1.564 7.585
Dy 1.103 4.551 0.528
Dy 3.308 0.039 3.512
Hg 1.103 1.292 1.624
Hg 3.308 1.695 6.490
```

Properties
- Total DFT energy (no corrections): -3.960 eV/atom
- Total magnetic moment: 0.00 μB per formula unit
- Calculated density: 9738 kg/m3

---

The following is a PBE calculation of Nd2Nb2N3 after structural relaxation, from Alexandria.

Geometry as extended XYZ:
```
7
Lattice="3.308 0.000 -0.941 -0.583 5.449 -2.048 -0.011 -0.080 6.246" Properties=species:S:1:pos:R:3 pbc="T T T"
N 0.000 0.000 0.000
N 2.312 1.417 1.842
N 0.403 3.953 1.415
Nd 1.536 4.489 -0.885
Nd 1.178 0.881 4.141
Nb 2.398 3.577 2.144
Nb 0.317 1.793 1.112
```

Properties
- Total DFT energy (no corrections): -8.912 eV/atom
- Total magnetic moment: 0.00 μB per formula unit
- Calculated density: 7659 kg/m3

---

The following is a PBE calculation of Sr2SnGe after structural relaxation, from Alexandria.

Geometry as extended XYZ:
```
8
Lattice="4.381 0.000 0.000 0.000 6.427 -0.243 0.000 -3.525 9.313" Properties=species:S:1:pos:R:3 pbc="T T T"
Sr 1.095 4.774 0.393
Sr 1.095 2.928 5.164
Sr 3.286 -0.026 3.906
Sr 3.286 -1.872 8.677
Sn 3.286 3.162 2.509
Sn 1.095 -0.259 6.561
Ge 1.095 1.487 1.882
Ge 3.286 1.415 7.188
```

Properties
- Total DFT energy (no corrections): -3.639 eV/atom
- Total magnetic moment: 0.00 μB per formula unit
- Calculated density: 4710 kg/m3